Record 1
Compound: SrP2Pb
Source: the Alexandria database
Functional: GGA-PBE
Structure: relaxed

a = 4.073 Å, b = 4.313 Å, c = 6.385 Å
α = 90.00°, β = 90.06°, γ = 90.00°
Space group P2/m (No. 10)
Inequivalent atoms, fractional coordinates:
Sr (0.000, 0.000, 0.000) (multiplicity 1)
P (0.499, 0.500, 0.829) (multiplicity 2)
Pb (0.500, 0.000, 0.500) (multiplicity 1)

* total energy: -4.47 eV/atom
* D(E_F): 2.05 states/eV/f.u.
* formation energy from the elements: -1.7 eV per formula unit

***

Record 2
Compound: SrPPb
Source: the Alexandria database
Functional: GGA-PBE
Structure: relaxed

a = 8.572 Å, b = 4.091 Å, c = 9.944 Å
α = 90.00°, β = 90.00°, γ = 90.00°
Space group Pnma (No. 62)
Inequivalent atoms, fractional coordinates:
Sr (0.060, 0.250, 0.177) (multiplicity 4)
P (0.207, 0.250, 0.852) (multiplicity 4)
Pb (0.158, 0.250, 0.517) (multiplicity 4)

* total energy: -4.12 eV/atom
* D(E_F): 1.77 states/eV/f.u.
* formation energy from the elements: -1.6 eV per formula unit

***

Record 3
Compound: SrPPb2
Source: the Alexandria database
Functional: GGA-PBE
Structure: relaxed

a = 4.617 Å, b = 4.617 Å, c = 5.261 Å
α = 90.00°, β = 90.00°, γ = 90.00°
Space group P4/mmm (No. 123)
Inequivalent atoms, fractional coordinates:
Sr (0.000, 0.000, 0.000) (multiplicity 1)
P (0.500, 0.500, 0.000) (multiplicity 1)
Pb (0.000, 0.500, 0.500) (multiplicity 2)

* total energy: -3.87 eV/atom
* D(E_F): 2.89 states/eV/f.u.
* formation energy from the elements: -1.0 eV per formula unit

***

Record 4
Compound: SrPPb
Source: the Alexandria database
Functional: GGA-PBE
Structure: relaxed

a = 6.005 Å, b = 8.740 Å, c = 6.417 Å
α = 90.00°, β = 90.00°, γ = 90.00°
Space group Cmcm (No. 63)
Inequivalent atoms, fractional coordinates:
Sr (0.000, 0.153, 0.250) (multiplicity 4)
P (0.000, 0.198, 0.750) (multiplicity 4)
Pb (0.000, 0.500, 0.000) (multiplicity 4)

* total energy: -4.05 eV/atom
* D(E_F): 1.25 states/eV/f.u.
* formation energy from the elements: -1.4 eV per formula unit

***

Record 5
Compound: Sr2P2Pb
Source: the Alexandria database
Functional: GGA-PBE
Structure: relaxed

a = 5.282 Å, b = 5.282 Å, c = 10.697 Å
α = 90.00°, β = 90.00°, γ = 90.00°
Space group I4/mmm (No. 139)
Inequivalent atoms, fractional coordinates:
Sr (0.000, 0.500, 0.250) (multiplicity 4)
P (0.000, 0.000, 0.103) (multiplicity 4)
Pb (0.000, 0.000, 0.500) (multiplicity 2)

* ΔE to the lowest computed polymorph: 349.4 meV/atom
* total energy: -3.97 eV/atom
* D(E_F): 4.19 states/eV/f.u.
* formation energy from the elements: -2.0 eV per formula unit

***

Record 6
Compound: Sr2PPb
Source: the Alexandria database
Functional: GGA-PBE
Structure: relaxed

a = 5.152 Å, b = 5.152 Å, c = 8.996 Å
α = 90.00°, β = 90.00°, γ = 90.00°
Space group I4/mmm (No. 139)
Inequivalent atoms, fractional coordinates:
Sr (0.000, 0.500, 0.250) (multiplicity 4)
P (0.000, 0.000, 0.000) (multiplicity 2)
Pb (0.000, 0.000, 0.500) (multiplicity 2)

* ΔE to the lowest computed polymorph: 154.3 meV/atom
* total energy: -3.63 eV/atom
* D(E_F): 1.89 states/eV/f.u.
* formation energy from the elements: -2.0 eV per formula unit

***

Record 7
Compound: SrPPb2
Source: the Alexandria database
Functional: GGA-PBE
Structure: relaxed

a = 4.039 Å, b = 4.681 Å, c = 12.772 Å
α = 90.00°, β = 90.00°, γ = 90.00°
Space group Amm2 (No. 38)
Inequivalent atoms, fractional coordinates:
Sr (0.000, 0.000, 0.000) (multiplicity 2)
P (0.500, 0.000, 0.463) (multiplicity 2)
Pb (0.000, 0.000, 0.288) (multiplicity 2)
Pb (0.500, 0.000, 0.684) (multiplicity 2)

* total energy: -4.03 eV/atom
* D(E_F): 1.83 states/eV/f.u.
* formation energy from the elements: -1.6 eV per formula unit

***

Record 8
Compound: SrP2Pb
Source: the Alexandria database
Functional: GGA-PBE
Structure: relaxed

a = 4.165 Å, b = 4.165 Å, c = 6.538 Å
α = 90.00°, β = 90.00°, γ = 90.00°
Space group P4mm (No. 99)
Inequivalent atoms, fractional coordinates:
Sr (0.000, 0.000, 0.000) (multiplicity 1)
P (0.000, 0.000, 0.519) (multiplicity 1)
P (0.500, 0.500, 0.044) (multiplicity 1)
Pb (0.500, 0.500, 0.445) (multiplicity 1)

* total energy: -4.25 eV/atom
* D(E_F): 3.15 states/eV/f.u.
* formation energy from the elements: -0.8 eV per formula unit

***

Record 9
Compound: Sr2P2Pb
Source: the Alexandria database
Functional: GGA-PBE
Structure: relaxed

a = 7.776 Å, b = 7.776 Å, c = 4.429 Å
α = 90.00°, β = 90.00°, γ = 90.00°
Space group P4/mbm (No. 127)
Inequivalent atoms, fractional coordinates:
Sr (0.181, 0.319, 0.000) (multiplicity 4)
P (0.104, 0.604, 0.500) (multiplicity 4)
Pb (0.000, 0.000, 0.500) (multiplicity 2)

* ΔE to the lowest computed polymorph: 0.0 meV/atom
* total energy: -4.32 eV/atom
* D(E_F): 2.43 states/eV/f.u.
* formation energy from the elements: -3.7 eV per formula unit

***

Record 10
Compound: SrPPb2
Source: the Alexandria database
Functional: GGA-PBE
Structure: relaxed

a = 4.251 Å, b = 4.251 Å, c = 7.454 Å
α = 90.00°, β = 90.00°, γ = 90.00°
Space group P4mm (No. 99)
Inequivalent atoms, fractional coordinates:
Sr (0.000, 0.000, 0.000) (multiplicity 1)
P (0.500, 0.500, 0.022) (multiplicity 1)
Pb (0.000, 0.000, 0.478) (multiplicity 1)
Pb (0.500, 0.500, 0.672) (multiplicity 1)

* total energy: -3.92 eV/atom
* D(E_F): 2.18 states/eV/f.u.
* formation energy from the elements: -1.2 eV per formula unit

***

Record 11
Compound: SrPPb
Source: the Alexandria database
Functional: GGA-PBE
Structure: relaxed

a = 5.1333 Å, b = 5.1333 Å, c = 9.1068 Å
α = 90.00°, β = 90.00°, γ = 120.00°
Space group P6_3mc (No. 186)
Inequivalent atoms, fractional coordinates:
Sr (0.0000, 0.0000, 0.0000) (multiplicity 2)
P (0.3333, 0.6667, 0.4630) (multiplicity 2)
Pb (0.3333, 0.6667, 0.7589) (multiplicity 2)

* total energy: -3.85 eV/atom
* D(E_F): 2.64 states/eV/f.u.
* formation energy from the elements: -0.7 eV per formula unit

***

Record 12
Compound: SrPPb2
Source: the Alexandria database
Functional: GGA-PBE
Structure: relaxed

a = 4.0664 Å, b = 4.0664 Å, c = 26.6298 Å
α = 90.00°, β = 90.00°, γ = 120.00°
Space group R-3m (No. 166, hexagonal axes)
Inequivalent atoms, fractional coordinates:
Sr (0.0000, 0.0000, 0.0000) (multiplicity 3)
P (0.0000, 0.0000, 0.5000) (multiplicity 3)
Pb (0.0000, 0.0000, 0.2296) (multiplicity 6)

* total energy: -3.65 eV/atom
* D(E_F): 3.60 states/eV/f.u.
* formation energy from the elements: -0.1 eV per formula unit

***

Record 13
Compound: Sr2PPb
Source: the Alexandria database
Functional: GGA-PBE
Structure: relaxed

a = 3.997 Å, b = 3.997 Å, c = 7.464 Å
α = 90.00°, β = 90.00°, γ = 90.00°
Space group P4/mmm (No. 123)
Inequivalent atoms, fractional coordinates:
Sr (0.000, 0.000, 0.211) (multiplicity 2)
P (0.500, 0.500, 0.000) (multiplicity 1)
Pb (0.500, 0.500, 0.500) (multiplicity 1)

* ΔE to the lowest computed polymorph: 0.0 meV/atom
* total energy: -3.78 eV/atom
* D(E_F): 0.60 states/eV/f.u.
* formation energy from the elements: -2.6 eV per formula unit

***

Record 14
Compound: Sr2PPb
Source: the Alexandria database
Functional: GGA-PBE
Structure: relaxed

a = 3.716 Å, b = 5.449 Å, c = 6.548 Å
α = 90.00°, β = 90.00°, γ = 90.00°
Space group Pmmm (No. 47)
Inequivalent atoms, fractional coordinates:
Sr (0.000, 0.000, 0.000) (multiplicity 1)
Sr (0.500, 0.500, 0.500) (multiplicity 1)
P (0.000, 0.000, 0.500) (multiplicity 1)
Pb (0.500, 0.500, 0.000) (multiplicity 1)

* ΔE to the lowest computed polymorph: 297.9 meV/atom
* total energy: -3.48 eV/atom
* D(E_F): 3.51 states/eV/f.u.
* formation energy from the elements: -1.5 eV per formula unit

***

Record 15
Compound: Sr2PPb
Source: the Alexandria database
Functional: GGA-PBE
Structure: relaxed

a = 7.884 Å, b = 7.884 Å, c = 7.884 Å
α = 90.00°, β = 90.00°, γ = 90.00°
Space group Fm-3m (No. 225)
Inequivalent atoms, fractional coordinates:
Sr (0.250, 0.250, 0.250) (multiplicity 8)
P (0.000, 0.000, 0.000) (multiplicity 4)
Pb (0.000, 0.000, 0.500) (multiplicity 4)

* ΔE to the lowest computed polymorph: 203.7 meV/atom
* total energy: -3.58 eV/atom
* D(E_F): 3.02 states/eV/f.u.
* formation energy from the elements: -1.8 eV per formula unit

***

Record 16
Compound: SrP3Pb
Source: the Alexandria database
Functional: GGA-PBE
Structure: relaxed

a = 5.393 Å, b = 5.393 Å, c = 5.393 Å
α = 90.00°, β = 90.00°, γ = 90.00°
Space group Pm-3m (No. 221)
Inequivalent atoms, fractional coordinates:
Sr (0.000, 0.000, 0.000) (multiplicity 1)
P (0.000, 0.000, 0.500) (multiplicity 3)
Pb (0.500, 0.500, 0.500) (multiplicity 1)

* ΔE to the lowest computed polymorph: 507.0 meV/atom
* total energy: -3.32 eV/atom
* D(E_F): 4.04 states/eV/f.u.
* formation energy from the elements: 5.0 eV per formula unit

***

Record 17
Compound: SrP6Pb
Source: the Alexandria database
Functional: GGA-PBE
Structure: relaxed

a = 6.239 Å, b = 6.239 Å, c = 11.534 Å
α = 90.00°, β = 90.00°, γ = 90.00°
Space group P4_2/mmc (No. 131)
Inequivalent atoms, fractional coordinates:
Sr (0.000, 0.000, 0.000) (multiplicity 2)
P (0.000, 0.500, 0.000) (multiplicity 2)
P (0.172, 0.172, 0.250) (multiplicity 8)
P (0.500, 0.500, 0.000) (multiplicity 2)
Pb (0.500, 0.500, 0.250) (multiplicity 2)

* total energy: -4.47 eV/atom
* D(E_F): 3.76 states/eV/f.u.
* formation energy from the elements: 2.1 eV per formula unit

***

Record 18
Compound: SrP2Pb
Source: the Alexandria database
Functional: GGA-PBE
Structure: relaxed

a = 4.872 Å, b = 4.872 Å, c = 8.222 Å
α = 90.00°, β = 90.00°, γ = 90.00°
Space group I4/mmm (No. 139)
Inequivalent atoms, fractional coordinates:
Sr (0.000, 0.000, 0.000) (multiplicity 2)
P (0.000, 0.500, 0.250) (multiplicity 4)
Pb (0.000, 0.000, 0.500) (multiplicity 2)

* total energy: -4.22 eV/atom
* D(E_F): 2.04 states/eV/f.u.
* formation energy from the elements: -0.7 eV per formula unit

***

Record 19
Compound: SrPPb2
Source: the Alexandria database
Functional: GGA-PBE
Structure: relaxed

a = 10.839 Å, b = 4.016 Å, c = 6.208 Å
α = 90.00°, β = 116.17°, γ = 90.00°
Space group Cm (No. 8)
Inequivalent atoms, fractional coordinates:
Sr (0.000, 0.000, 0.000) (multiplicity 2)
P (0.219, 0.500, 0.006) (multiplicity 2)
Pb (0.177, 0.000, 0.643) (multiplicity 2)
Pb (0.388, 0.000, 0.388) (multiplicity 2)

* total energy: -3.95 eV/atom
* D(E_F): 2.07 states/eV/f.u.
* formation energy from the elements: -1.3 eV per formula unit

***

Record 20
Compound: SrPPb2
Source: the Alexandria database
Functional: GGA-PBE
Structure: relaxed

a = 4.881 Å, b = 4.881 Å, c = 9.388 Å
α = 90.00°, β = 90.00°, γ = 90.00°
Space group I-4m2 (No. 119)
Inequivalent atoms, fractional coordinates:
Sr (0.000, 0.000, 0.000) (multiplicity 2)
P (0.000, 0.500, 0.750) (multiplicity 2)
Pb (0.000, 0.000, 0.500) (multiplicity 2)
Pb (0.000, 0.500, 0.250) (multiplicity 2)

* total energy: -3.82 eV/atom
* D(E_F): 2.37 states/eV/f.u.
* formation energy from the elements: -0.8 eV per formula unit